Dy2Th2Sb3: relaxed, PBE-GGA.

Values from the calculation:
**ΔE_f (raw)**: -0.692 eV/atom
**Space group**: C2/m (12)
**Raw total energy**: -5.894 eV/atom

Unit cell a=4.302 b=7.444 c=7.502 alpha=98.09 beta=89.97 gamma=106.81
Fractional positions:
Dy: 0.625 0.249 0.867
Dy: 0.375 0.751 0.133
Th: 0.888 0.774 0.607
Th: 0.112 0.226 0.393
Sb: 0.000 0.000 0.000
Sb: 0.740 0.481 0.245
Sb: 0.260 0.519 0.755